Material: GaNi2Sn5
Method: DFT, PBE
State: relaxed

Summary:
Energy: -68.9 eV/cell
Crystal system: orthorhombic

Structure (CIF):
```
data_GaNi2Sn5
_chemical_formula_sum 'Ga2 Ni4 Sn10'
_space_group_name_H-M_alt 'A m m 2'
_space_group_IT_number 38
_cell_length_a 3.570
_cell_length_b 8.438
_cell_length_c 11.574
_cell_angle_alpha 90.00
_cell_angle_beta 90.00
_cell_angle_gamma 90.00
loop_
_space_group_symop_operation_xyz
'x,y,z'
'-x,-y,z'
'-x,y,z'
'x,-y,z'
'x,y+1/2,z+1/2'
'-x,-y+1/2,z+1/2'
'-x,y+1/2,z+1/2'
'x,-y+1/2,z+1/2'
loop_
_atom_site_label
_atom_site_type_symbol
_atom_site_fract_x
_atom_site_fract_y
_atom_site_fract_z
Ga1 Ga 0.000 0.000 0.000
Ni1 Ni 0.000 0.000 0.378
Ni2 Ni 0.500 0.000 0.853
Sn1 Sn 0.000 0.189 0.740
Sn2 Sn 0.500 0.000 0.208
Sn3 Sn 0.500 0.203 0.473
```